Dy9Er3Th2: relaxed, GGA-PBE.

Output
The density of states at the Fermi level comes out at 47.7 states/eV/cell. Its formation energy is 0.20 eV per atom. The value obtained for the theoretical density is 8.78 Mg/m³.

a = 16.9020 Å, b = 10.2822 Å, c = 5.5943 Å
α = 90.00°, β = 109.21°, γ = 90.00°
With the nearest neighbours (Å) after each atom.
Space group Cm (No. 8)
Inequivalent atoms, fractional coordinates:
1 Dy 0.0000 0.0000 0.0000  1 Er 3.33, 4 Dy 3.40-3.41
2 Dy 0.0133 0.3297 0.0079  3 Dy 3.16-3.50, 2 Th 3.29-3.30, 1 Er 3.47
3 Dy 0.1153 0.1697 0.6110  4 Er 3.40-3.78, 8 Dy 3.49-3.79, 1 Th 3.71
4 Dy 0.2111 0.3359 0.2061  4 Dy 3.16-3.38, 1 Er 3.45, 1 Th 3.49
5 Dy 0.3164 0.3312 0.8109  6 Dy 3.26-3.61, 1 Er 3.41, 2 Th 3.50-3.51
6 Er 0.1075 0.5000 0.6024  12 Dy 3.40-3.76, 2 Th 3.72
7 Er 0.2088 0.0000 0.2043  7 Dy 3.33-3.62, 2 Er 3.36, 2 Th 3.62
8 Er 0.3254 0.0000 0.8204  2 Er 3.36, 4 Dy 3.41-3.47, 4 Th 3.57-3.58
9 Th 0.4046 0.1780 0.3990  5 Dy 3.29-3.51, 3 Er 3.57-3.62, 1 Th 3.66


Dy8Er4Th: relaxed, GGA-PBE.

Output
The density of states at the Fermi level comes out at 48.7 states/eV/cell. Its formation energy is 0.28 eV per atom. The value obtained for the theoretical density is 8.56 Mg/m³.

a = 6.8761 Å, b = 6.8761 Å, c = 31.2833 Å
α = 90.00°, β = 90.00°, γ = 120.00°
With the nearest neighbours (Å) after each atom.
Space group R-3m (No. 166, hexagonal axes)
Inequivalent atoms, fractional coordinates:
1 Dy 0.0000 0.0000 0.2016  9 Dy 3.70-4.03, 3 Th 4.12
2 Dy 0.0100 0.5050 0.7552  1 Th 3.19, 4 Dy 3.33-3.54, 3 Er 3.37-3.43
3 Er 0.0000 0.0000 0.0000  6 Dy 3.37, 6 Er 3.44
4 Er 0.0000 0.5000 0.0000  4 Dy 3.43, 6 Er 3.44
5 Th 0.0000 0.0000 0.5000  6 Dy 3.19


Dy4Er6Th: relaxed, GGA-PBE.

Output
The density of states at the Fermi level comes out at 33.0 states/eV/cell. Its formation energy is 0.48 eV per atom. The value obtained for the theoretical density is 8.41 Mg/m³.

a = 7.5924 Å, b = 7.5924 Å, c = 12.9166 Å
α = 90.00°, β = 90.00°, γ = 90.00°
With the nearest neighbours (Å) after each atom.
Space group I-42m (No. 121)
Inequivalent atoms, fractional coordinates:
1 Dy 0.1714 0.1714 0.4251  3 Er 2.98-3.23, 2 Dy 3.24
2 Er 0.0000 0.5000 0.0000  4 Dy 2.98
3 Er 0.2449 0.2449 0.1827  4 Dy 3.23-3.58, 1 Th 3.53, 2 Er 3.57
4 Th 0.0000 0.0000 0.0000  8 Er 3.53-3.80, 4 Dy 3.66


Dy6Er4Th: relaxed, GGA-PBE.

Output
The density of states at the Fermi level comes out at 82.7 states/eV/cell. Its formation energy is 0.15 eV per atom. The value obtained for the theoretical density is 8.94 Mg/m³. The value obtained for the relative energy among the computed polymorphs is 0.0000 eV per atom.

a = 5.6944 Å, b = 9.5944 Å, c = 25.5082 Å
α = 90.00°, β = 90.00°, γ = 90.00°
With the nearest neighbours (Å) after each atom.
Space group Cmcm (No. 63)
Inequivalent atoms, fractional coordinates:
1 Dy 0.0000 0.0000 0.0000  8 Er 3.13-3.46
2 Dy 0.0000 0.0298 0.2500  3 Th 3.22-3.26, 2 Er 3.26
3 Dy 0.0000 0.3074 0.6012  6 Er 3.28-3.66
4 Dy 0.0000 0.3633 0.1820  7 Dy 3.47-3.88, 4 Er 3.52-3.62, 3 Th 3.62-3.71
5 Er 0.0000 0.0329 0.1221  5 Dy 3.13-3.31
6 Er 0.0000 0.3437 0.0415  8 Dy 3.39-3.68, 2 Er 3.62-3.67
7 Th 0.0000 0.3058 0.7500  3 Dy 3.22-3.26